[1]
VASP calculation (PBE) on a relaxed structure of Zr2ScW.

* DFT formation energy: 0.23 eV per atom
* DOS at the Fermi energy: 5.8 states/eV/f.u.

Cell: 6.0573 9.8246 2.9417 Å, 90.00 111.22 90.00°
Space group C2/m (No. 12)
Asymmetric unit:
Zr1 0.2500 0.2500 0.0000 x4
Sc1 0.0000 0.0000 0.5000 x2
W1 0.0000 0.5000 0.5000 x2

***

[2]
VASP calculation (PBE) on a relaxed structure of Tb8Co3Au2.

* DFT formation energy: -0.27 eV per atom
* DOS at the Fermi energy: 15.4 states/eV/f.u.

Cell: 8.5386 4.7827 8.5538 Å, 90.00 111.04 90.00°
Space group P2/m (No. 10)
Asymmetric unit:
Tb1 0.1143 0.0000 0.3850 x2
Tb2 0.1397 0.5000 0.8710 x2
Tb3 0.3700 0.5000 0.6394 x2
Tb4 0.3842 0.0000 0.1167 x2
Co1 0.2519 0.0000 0.7519 x2
Co2 0.5000 0.5000 0.0000 x1
Au1 0.2437 0.5000 0.2562 x2

***

[3]
VASP calculation (PBE) on a relaxed structure of Sr3Cd4Ga4.

* DFT formation energy: -0.35 eV per atom
* DOS at the Fermi energy: 6.3 states/eV/f.u.

Cell: 4.7354 7.6749 15.6339 Å, 90.00 90.00 90.00°
Space group Immm (No. 71)
Asymmetric unit:
Sr1 0.0000 0.0000 0.0000 x2
Sr2 0.0000 0.5000 0.1294 x4
Cd1 0.0000 0.3086 0.3360 x8
Ga1 0.0000 0.0000 0.2202 x4
Ga2 0.0000 0.1671 0.5000 x4